A.
PmErBi2: optimized geometry, PBE.

For the density of states at the Fermi level, the calculation gives 0.2206 states/eV/atom.

Unit cell a=4.4998 b=4.4998 c=14.9527 alpha=90.00 beta=90.00 gamma=120.00
Space group P6_3/mmc (No. 194)
Unique sites:
Pm1 0.0000 0.0000 0.0000 (multiplicity 2)
Er1 0.3333 0.6667 0.2500 (multiplicity 2)
Bi1 0.3333 0.6667 0.6266 (multiplicity 4)


B.
PmErBi2: optimized geometry, PBE.

For the density of states at the Fermi level, the calculation gives 0.1869 states/eV/atom.

Unit cell a=7.816 b=4.520 c=7.812 alpha=90.00 beta=109.58 gamma=90.00
Space group C2/m (No. 12)
Unique sites:
Pm1 0.000 0.000 0.000 (multiplicity 2)
Er1 0.000 0.500 0.500 (multiplicity 2)
Bi1 0.247 0.000 0.741 (multiplicity 4)


C.
PmErBi2: optimized geometry, PBE.

For the density of states at the Fermi level, the calculation gives 0.1271 states/eV/atom.

Unit cell a=4.4836 b=4.4836 c=22.9847 alpha=90.00 beta=90.00 gamma=120.00
Space group R3m (No. 160, hexagonal axes)
Unique sites:
Pm1 0.0000 0.0000 0.0000 (multiplicity 3)
Er1 0.0000 0.0000 0.1707 (multiplicity 3)
Bi1 0.0000 0.0000 0.4200 (multiplicity 3)
Bi2 0.0000 0.0000 0.5842 (multiplicity 3)


Which is most stable? The ranking, best first, is B, A, C.


A.
PmErBi2: optimized geometry, PBE.

For the density of states at the Fermi level, the calculation gives 0.6577 states/eV/atom.

Unit cell a=7.833 b=7.833 c=7.833 alpha=90.00 beta=90.00 gamma=90.00
Space group Fm-3m (No. 225)
Unique sites:
Pm1 0.000 0.000 0.000 (multiplicity 4)
Er1 0.000 0.000 0.500 (multiplicity 4)
Bi1 0.250 0.250 0.250 (multiplicity 8)


B.
PmErBi2: optimized geometry, PBE.

For the density of states at the Fermi level, the calculation gives 0.6651 states/eV/atom.

Unit cell a=4.147 b=4.147 c=6.898 alpha=90.00 beta=90.00 gamma=90.00
Space group P4/mmm (No. 123)
Unique sites:
Pm1 0.000 0.000 0.000 (multiplicity 1)
Er1 0.000 0.000 0.500 (multiplicity 1)
Bi1 0.500 0.500 0.254 (multiplicity 2)


C.
PmErBi2: optimized geometry, PBE.

For the density of states at the Fermi level, the calculation gives 0.4021 states/eV/atom.

Unit cell a=5.884 b=5.884 c=3.425 alpha=90.00 beta=90.00 gamma=90.00
Space group P4/mmm (No. 123)
Unique sites:
Pm1 0.000 0.000 0.000 (multiplicity 1)
Er1 0.500 0.500 0.000 (multiplicity 1)
Bi1 0.000 0.500 0.500 (multiplicity 2)


Which is most stable? The ranking, best first, is C, B, A.


A.
Pm3ErBi3: optimized geometry, PBE.

For the density of states at the Fermi level, the calculation gives 1.1500 states/eV/atom.

Unit cell a=9.553 b=9.553 c=9.553 alpha=90.00 beta=90.00 gamma=90.00
Space group P2_13 (No. 198)
Unique sites:
Pm1 0.068 0.432 0.568 (multiplicity 4)
Pm2 0.176 0.824 0.324 (multiplicity 4)
Pm3 0.178 0.178 0.178 (multiplicity 4)
Er1 0.074 0.574 0.926 (multiplicity 4)
Bi1 0.002 0.256 0.872 (multiplicity 12)


B.
Pm3ErBi3: optimized geometry, PBE.

For the density of states at the Fermi level, the calculation gives 0.7137 states/eV/atom.

Unit cell a=9.6619 b=9.6619 c=6.3495 alpha=90.00 beta=90.00 gamma=120.00
Space group P6_3/m (No. 176)
Unique sites:
Pm1 0.0770 0.6817 0.2500 (multiplicity 6)
Er1 0.3333 0.6667 0.7500 (multiplicity 2)
Bi1 0.0486 0.7146 0.7500 (multiplicity 6)


Which is most stable? The ranking, best first, is A, B.


A.
PmEr3Bi2: optimized geometry, PBE.

For the density of states at the Fermi level, the calculation gives 0.9980 states/eV/atom.

Unit cell a=18.675 b=4.341 c=9.921 alpha=90.00 beta=113.40 gamma=90.00
Space group C2/m (No. 12)
Unique sites:
Pm1 0.111 0.000 0.117 (multiplicity 4)
Er1 0.057 0.000 0.670 (multiplicity 4)
Er2 0.138 0.500 0.478 (multiplicity 4)
Er3 0.189 0.500 0.889 (multiplicity 4)
Bi1 0.011 0.500 0.843 (multiplicity 4)
Bi2 0.248 0.000 0.711 (multiplicity 4)


B.
PmEr3Bi2: optimized geometry, PBE.

For the density of states at the Fermi level, the calculation gives 0.7455 states/eV/atom.

Unit cell a=4.568 b=4.568 c=8.602 alpha=90.00 beta=90.00 gamma=90.00
Space group P-4m2 (No. 115)
Unique sites:
Pm1 0.000 0.000 0.000 (multiplicity 1)
Er1 0.000 0.500 0.343 (multiplicity 2)
Er2 0.500 0.500 0.000 (multiplicity 1)
Bi1 0.000 0.500 0.710 (multiplicity 2)


Which is most stable? The ranking, best first, is B, A.


A.
Pm3ErBi2: optimized geometry, PBE.

For the density of states at the Fermi level, the calculation gives 0.8434 states/eV/atom.

Unit cell a=4.617 b=4.617 c=8.871 alpha=90.00 beta=90.00 gamma=90.00
Space group P-4m2 (No. 115)
Unique sites:
Pm1 0.000 0.000 0.000 (multiplicity 1)
Pm2 0.000 0.500 0.650 (multiplicity 2)
Er1 0.500 0.500 0.000 (multiplicity 1)
Bi1 0.000 0.500 0.279 (multiplicity 2)


B.
Pm3ErBi2: optimized geometry, PBE.

For the density of states at the Fermi level, the calculation gives 1.2813 states/eV/atom.

Unit cell a=7.145 b=14.835 c=8.032 alpha=90.00 beta=90.00 gamma=90.00
Space group Ibam (No. 72)
Unique sites:
Pm1 0.000 0.000 0.250 (multiplicity 4)
Pm2 0.000 0.299 0.250 (multiplicity 8)
Er1 0.000 0.500 0.000 (multiplicity 4)
Bi1 0.167 0.147 0.000 (multiplicity 8)


Which is most stable? The ranking, best first, is A, B.


A.
PrErBi2: optimized geometry, PBE.

For the density of states at the Fermi level, the calculation gives 0.1834 states/eV/atom.

Unit cell a=4.5498 b=4.5498 c=22.2219 alpha=90.00 beta=90.00 gamma=120.00
Space group R-3m (No. 166, hexagonal axes)
Unique sites:
Pr1 0.0000 0.0000 0.0000 (multiplicity 3)
Er1 0.0000 0.0000 0.5000 (multiplicity 3)
Bi1 0.0000 0.0000 0.2456 (multiplicity 6)


B.
PrErBi2: optimized geometry, PBE.

For the density of states at the Fermi level, the calculation gives 1.0289 states/eV/atom.

Unit cell a=3.843 b=3.843 c=8.242 alpha=90.00 beta=90.00 gamma=90.00
Space group P4/mmm (No. 123)
Unique sites:
Pr1 0.000 0.000 0.000 (multiplicity 1)
Er1 0.000 0.000 0.500 (multiplicity 1)
Bi1 0.500 0.500 0.263 (multiplicity 2)


C.
PrErBi2: optimized geometry, PBE.

For the density of states at the Fermi level, the calculation gives 0.1145 states/eV/atom.

Unit cell a=4.5149 b=4.5149 c=23.1631 alpha=90.00 beta=90.00 gamma=120.00
Space group R3m (No. 160, hexagonal axes)
Unique sites:
Pr1 0.0000 0.0000 0.0000 (multiplicity 3)
Er1 0.0000 0.0000 0.1707 (multiplicity 3)
Bi1 0.0000 0.0000 0.4213 (multiplicity 3)
Bi2 0.0000 0.0000 0.5830 (multiplicity 3)


Which is most stable? The ranking, best first, is A, C, B.


A.
Pr2ErBi: optimized geometry, PBE.

For the density of states at the Fermi level, the calculation gives 1.0400 states/eV/atom.

Unit cell a=4.344 b=4.344 c=6.892 alpha=90.00 beta=90.00 gamma=90.00
Space group P4/mmm (No. 123)
Unique sites:
Pr1 0.000 0.000 0.239 (multiplicity 2)
Er1 0.500 0.500 0.500 (multiplicity 1)
Bi1 0.500 0.500 0.000 (multiplicity 1)


B.
Pr2ErBi: optimized geometry, PBE.

For the density of states at the Fermi level, the calculation gives 1.3241 states/eV/atom.

Unit cell a=3.5938 b=3.5938 c=37.2830 alpha=90.00 beta=90.00 gamma=120.00
Space group R-3m (No. 166, hexagonal axes)
Unique sites:
Pr1 0.0000 0.0000 0.0880 (multiplicity 6)
Er1 0.0000 0.0000 0.5000 (multiplicity 3)
Bi1 0.0000 0.0000 0.0000 (multiplicity 3)


C.
Pr2ErBi: optimized geometry, PBE.

For the density of states at the Fermi level, the calculation gives 1.3838 states/eV/atom.

Unit cell a=4.1816 b=4.1816 c=28.9057 alpha=90.00 beta=90.00 gamma=120.00
Space group R3m (No. 160, hexagonal axes)
Unique sites:
Pr1 0.0000 0.0000 0.0000 (multiplicity 3)
Pr2 0.0000 0.0000 0.1894 (multiplicity 3)
Er1 0.0000 0.0000 0.4277 (multiplicity 3)
Bi1 0.0000 0.0000 0.5946 (multiplicity 3)


Which is most stable? The ranking, best first, is A, C, B.


A.
Er5Bi2Pt: optimized geometry, PBE.

For the density of states at the Fermi level, the calculation gives 0.7023 states/eV/atom.

Unit cell a=8.010 b=12.310 c=4.547 alpha=90.00 beta=90.00 gamma=90.00
Space group Pbam (No. 55)
Unique sites:
Er1 0.000 0.000 0.000 (multiplicity 2)
Er2 0.143 0.298 0.000 (multiplicity 4)
Er3 0.182 0.565 0.500 (multiplicity 4)
Bi1 0.070 0.828 0.500 (multiplicity 4)
Pt1 0.000 0.500 0.000 (multiplicity 2)


B.
Er5Bi2Pt: optimized geometry, PBE.

For the density of states at the Fermi level, the calculation gives 1.0007 states/eV/atom.

Unit cell a=5.476 b=15.808 c=13.634 alpha=90.00 beta=90.00 gamma=90.00
Space group Cmcm (No. 63)
Unique sites:
Er1 0.000 0.080 0.116 (multiplicity 8)
Er2 0.000 0.279 0.750 (multiplicity 4)
Er3 0.000 0.295 0.065 (multiplicity 8)
Bi1 0.000 0.118 0.604 (multiplicity 8)
Pt1 0.000 0.207 0.250 (multiplicity 4)


Which is most stable? The ranking, best first, is A, B.


A.
Er2BiPt: optimized geometry, PBE.

For the density of states at the Fermi level, the calculation gives 0.5321 states/eV/atom.

Unit cell a=4.2823 b=4.2823 c=20.5865 alpha=90.00 beta=90.00 gamma=120.00
Space group R-3m (No. 166, hexagonal axes)
Unique sites:
Er1 0.0000 0.0000 0.2378 (multiplicity 6)
Bi1 0.0000 0.0000 0.0000 (multiplicity 3)
Pt1 0.0000 0.0000 0.5000 (multiplicity 3)


B.
Er2BiPt: optimized geometry, PBE.

For the density of states at the Fermi level, the calculation gives 0.5948 states/eV/atom.

Unit cell a=3.552 b=3.552 c=7.920 alpha=90.00 beta=90.00 gamma=90.00
Space group P4/mmm (No. 123)
Unique sites:
Er1 0.000 0.000 0.207 (multiplicity 2)
Bi1 0.500 0.500 0.500 (multiplicity 1)
Pt1 0.500 0.500 0.000 (multiplicity 1)


Which is most stable? The ranking, best first, is A, B.


A.
Er4BiPt: optimized geometry, PBE.

For the density of states at the Fermi level, the calculation gives 1.0400 states/eV/atom.

Unit cell a=8.271 b=4.022 c=19.427 alpha=90.00 beta=90.00 gamma=90.00
Space group Pnma (No. 62)
Unique sites:
Er1 0.023 0.250 0.067 (multiplicity 4)
Er2 0.050 0.750 0.213 (multiplicity 4)
Er3 0.131 0.750 0.651 (multiplicity 4)
Er4 0.145 0.750 0.450 (multiplicity 4)
Bi1 0.248 0.250 0.314 (multiplicity 4)
Pt1 0.223 0.250 0.553 (multiplicity 4)


B.
Er4BiPt: optimized geometry, PBE.

For the density of states at the Fermi level, the calculation gives 0.8951 states/eV/atom.

Unit cell a=7.402 b=7.055 c=7.082 alpha=90.00 beta=91.15 gamma=90.00
Space group P2_1/c (No. 14)
Unique sites:
Er1 0.129 0.163 0.172 (multiplicity 4)
Er2 0.321 0.637 0.131 (multiplicity 4)
Bi1 0.500 0.000 0.000 (multiplicity 2)
Pt1 0.000 0.000 0.500 (multiplicity 2)


Which is most stable? The ranking, best first, is A, B.